Record 1
Ho2CdGa2Rh5: relaxed, PBE.

Cell and atoms, written as POSCAR:
```
Ho2CdGa2Rh5
1.0
9.819 0.000 0.000
0.000 9.819 0.000
0.000 0.000 3.595
Ho Cd Ga Rh
4 2 4 10
direct
0.174 0.326 0.000 Ho
0.326 0.826 0.000 Ho
0.674 0.174 0.000 Ho
0.826 0.674 0.000 Ho
0.000 0.000 0.000 Cd
0.500 0.500 0.000 Cd
0.124 0.624 0.000 Ga
0.376 0.124 0.000 Ga
0.624 0.876 0.000 Ga
0.876 0.376 0.000 Ga
0.000 0.500 0.500 Rh
0.070 0.791 0.500 Rh
0.209 0.070 0.500 Rh
0.291 0.570 0.500 Rh
0.430 0.291 0.500 Rh
0.500 0.000 0.500 Rh
0.570 0.709 0.500 Rh
0.709 0.430 0.500 Rh
0.791 0.930 0.500 Rh
0.930 0.209 0.500 Rh
```

energy of formation	-710	meV/atom
space group	P4/mbm, No. 127

Record 2
TlSbCl: relaxed, PBE.

Cell and atoms, written as POSCAR:
```
TlSbCl
1.0
-1.687 1.687 7.264
1.687 -1.687 7.264
1.687 1.687 -7.264
Tl Sb Cl
1 1 1
direct
0.000 0.000 0.000 Tl
0.688 0.688 0.000 Sb
0.363 0.363 0.000 Cl
```

ΔE_f (raw)	-0.147	eV/atom
space group	I4mm, No. 107

Record 3
MgCu2B2: relaxed, PBE.

Cell and atoms, written as POSCAR:
```
MgCu2B2
1.0
-1.752 1.752 4.387
1.752 -1.752 4.387
1.752 1.752 -4.387
Mg Cu B
1 2 2
direct
0.000 0.000 0.000 Mg
0.250 0.750 0.500 Cu
0.750 0.250 0.500 Cu
0.407 0.407 0.000 B
0.593 0.593 0.000 B
```

energy of formation	107	meV/atom
space group	I4/mmm, No. 139

Record 4
SrLiPd: relaxed, PBE.

Cell and atoms, written as POSCAR:
```
SrLiPd
1.0
4.328 0.000 0.000
0.000 4.328 0.000
0.000 0.000 7.668
Sr Li Pd
2 2 2
direct
0.250 0.250 0.167 Sr
0.750 0.750 0.833 Sr
0.250 0.750 0.500 Li
0.750 0.250 0.500 Li
0.250 0.250 0.723 Pd
0.750 0.750 0.277 Pd
```

energy of formation	-451	meV/atom
space group	P4/nmm, No. 129

no.,calculated total energy (eV per atom)
1,-5.998
2,-2.925
3,-4.521
4,-3.380